[1]
A plane-wave DFT calculation with PBE was carried out for a relaxed structure of Li8SnHg2.

Lattice parameters (Å, degrees): 4.5362 4.5362 10.7018 102.17 102.17 60.03
With the nearest neighbours (Å) after each atom.
Sites, in units of the cell vectors:
Li 0.0894 0.0894 0.2689  3 Hg 2.77, 1 Sn 2.79, 4 Li 2.83-2.90
Li 0.1830 0.1830 0.5487  3 Hg 2.80-2.81, 5 Li 2.81-2.96
Li 0.2778 0.2778 0.8336  8 Li 2.67-2.96
Li 0.3636 0.3636 0.0912  4 Li 2.67-2.73, 1 Hg 2.73, 3 Sn 2.78-2.79
Li 0.6364 0.6364 0.9088  4 Li 2.67-2.73, 1 Hg 2.73, 3 Sn 2.78-2.79
Li 0.7222 0.7222 0.1664  8 Li 2.67-2.96
Li 0.8170 0.8170 0.4513  3 Hg 2.80-2.81, 5 Li 2.81-2.96
Li 0.9106 0.9106 0.7311  3 Hg 2.77, 1 Sn 2.79, 4 Li 2.83-2.90
Sn 0.0000 0.0000 0.0000  8 Li 2.78-2.79
Hg 0.4513 0.4513 0.3546  7 Li 2.73-2.81, 1 Hg 3.02
Hg 0.5487 0.5487 0.6454  7 Li 2.73-2.81, 1 Hg 3.02

Properties
* calculated total energy: -2.133 eV/atom
* symmetry: C2/m

=====

[2]
A plane-wave DFT calculation with PBE was carried out for a relaxed structure of PrDy2Mg4In2.

Lattice parameters (Å, degrees): 4.7277 7.6747 7.6747 121.14 90.00 90.00
With the nearest neighbours (Å) after each atom.
Sites, in units of the cell vectors:
Pr 0.0000 0.0000 0.0000  7 Mg 3.32-3.70, 4 In 3.32
Dy 0.0000 0.4280 0.8626  4 In 3.24-3.25, 3 Mg 3.29-3.43
Dy 0.0000 0.8626 0.4280  4 In 3.24-3.25, 3 Mg 3.29-3.43
Mg 0.0000 0.4399 0.4399  6 Mg 2.96-3.03, 2 Dy 3.29
Mg 0.5000 0.1892 0.4316  2 In 2.93-2.96, 4 Mg 3.03-3.24
Mg 0.5000 0.4316 0.1892  2 In 2.93-2.96, 4 Mg 3.03-3.24
Mg 0.5000 0.6758 0.6758  4 Mg 2.96-3.20, 2 In 2.96
In 0.5000 0.0977 0.7578  3 Mg 2.93-2.96, 4 Dy 3.24-3.25
In 0.5000 0.7578 0.0977  3 Mg 2.93-2.96, 4 Dy 3.24-3.25

Properties
* calculated total energy: -3.140 eV/atom
* symmetry: Amm2

=====

[3]
A plane-wave DFT calculation with PBE was carried out for a relaxed structure of PrZnB4.

Lattice parameters (Å, degrees): 3.1890 3.1890 7.5284 90.00 90.00 120.00
With the nearest neighbours (Å) after each atom.
Sites, in units of the cell vectors:
Pr 0.0000 0.0000 0.0000  12 B 2.83
Zn 0.0000 0.0000 0.5000  12 B 2.45
B 0.3333 0.6667 0.2853  3 B 1.84
B 0.3333 0.6667 0.7147  3 B 1.84
B 0.6667 0.3333 0.2853  3 B 1.84
B 0.6667 0.3333 0.7147  3 B 1.84

Properties
* calculated total energy: -5.369 eV/atom
* distance to the lowest polymorph of the same formula: 0.0502 eV/atom
* symmetry: P6/mmm

=====

[4]
A plane-wave DFT calculation with PBE was carried out for a relaxed structure of CuNi2Bi.

Lattice parameters (Å, degrees): 4.3712 4.3712 4.3712 60.00 60.00 60.00
With the nearest neighbours (Å) after each atom.
Sites, in units of the cell vectors:
Cu 0.0000 0.0000 0.0000  4 Bi 2.68, 4 Ni 2.68
Ni 0.2500 0.2500 0.2500  4 Ni 2.68, 4 Cu 2.68
Ni 0.5000 0.5000 0.5000  4 Bi 2.68, 4 Ni 2.68
Bi 0.7500 0.7500 0.7500  4 Ni 2.68, 4 Cu 2.68

Properties
* calculated total energy: -4.496 eV/atom
* symmetry: F-43m

=====

[5]
A plane-wave DFT calculation with PBE was carried out for a relaxed structure of Pr3Cu2Ni2Ge4.

Lattice parameters (Å, degrees): 12.4022 12.4022 12.4022 160.46 160.40 27.81
With the nearest neighbours (Å) after each atom.
Sites, in units of the cell vectors:
Pr 0.0000 0.0000 0.0000  4 Cu 3.18, 8 Ge 3.24
Pr 0.3471 0.8471 0.5000  4 Ni 3.14-3.16, 6 Ge 3.19-3.20, 4 Cu 3.25
Pr 0.6529 0.1529 0.5000  4 Ni 3.14-3.16, 6 Ge 3.19-3.20, 4 Cu 3.25
Cu 0.0991 0.5991 0.5000  3 Ge 2.39-2.44
Cu 0.9009 0.4009 0.5000  3 Ge 2.39-2.44
Ni 0.2492 0.2492 0.0000  4 Ge 2.41-2.43
Ni 0.7508 0.7508 0.0000  4 Ge 2.41-2.43
Ge 0.2006 0.7006 0.5000  4 Ni 2.41-2.43, 1 Cu 2.44
Ge 0.4473 0.4473 0.0000  2 Cu 2.39, 1 Ge 2.54
Ge 0.5527 0.5527 0.0000  2 Cu 2.39, 1 Ge 2.54
Ge 0.7994 0.2994 0.5000  4 Ni 2.41-2.43, 1 Cu 2.44

Properties
* calculated total energy: -5.332 eV/atom
* symmetry: Immm

=====

[6]
A plane-wave DFT calculation with PBE was carried out for a relaxed structure of LaPr2Cd3Ir2Pt.

Lattice parameters (Å, degrees): 4.0976 7.6318 7.6318 119.49 90.00 90.00
With the nearest neighbours (Å) after each atom.
Sites, in units of the cell vectors:
La 0.0000 0.0000 0.0000  4 Ir 3.05, 1 Pt 3.18, 2 Cd 3.31
Pr 0.0000 0.4122 0.8235  4 Ir 3.09-3.12, 1 Pt 3.13, 6 Cd 3.29-3.42
Pr 0.0000 0.8235 0.4122  4 Ir 3.09-3.12, 1 Pt 3.13, 6 Cd 3.29-3.42
Cd 0.5000 0.1626 0.4156  2 Pt 2.81, 2 Ir 2.91-2.92
Cd 0.5000 0.4156 0.1626  2 Pt 2.81, 2 Ir 2.91-2.92
Cd 0.5000 0.6611 0.6611  2 Pt 2.80, 2 Ir 2.92
Ir 0.5000 0.0805 0.7513  3 Cd 2.91-2.92, 2 La 3.05, 4 Pr 3.09-3.12
Ir 0.5000 0.7513 0.0805  3 Cd 2.91-2.92, 2 La 3.05, 4 Pr 3.09-3.12
Pt 0.0000 0.4138 0.4138  6 Cd 2.80-2.81

Properties
* calculated total energy: -5.177 eV/atom
* DFT formation energy: -630 meV/atom
* symmetry: Amm2